1.
Density functional theory data (PBE) for crystalline SiH3NO at its relaxed geometry.

```
6
Lattice="7.559 -1.478 0.000 7.559 1.478 0.000 -0.374 0.000 2.834" Properties=species:S:1:pos:R:3 pbc="T T T"
Si 0.000 0.000 0.000
H 5.730 0.000 1.844
H 10.853 0.000 1.130
H 11.410 0.000 0.628
N 6.250 0.000 2.734
O 0.673 0.000 1.517
```

N(E_F): 0.00 states/eV/cell
volume: 10.56 Å³/atom


2.
Density functional theory data (PBE) for crystalline SiH3NO at its relaxed geometry.

```
6
Lattice="4.881 -1.710 0.000 4.881 1.710 0.000 -0.813 0.000 3.145" Properties=species:S:1:pos:R:3 pbc="T T T"
Si 0.000 0.000 0.000
H 2.917 0.895 1.158
H 1.463 0.000 0.375
H 2.917 -0.895 1.158
N 8.396 0.000 1.326
O 4.009 0.000 3.131
```

N(E_F): 0.00 states/eV/cell
volume: 8.75 Å³/atom


3.
Density functional theory data (PBE) for crystalline SiH3NO at its relaxed geometry.

```
6
Lattice="2.891 0.000 0.000 0.513 4.593 0.000 1.004 0.173 4.628" Properties=species:S:1:pos:R:3 pbc="T T T"
Si 0.000 0.000 0.000
H 1.880 1.644 2.706
H 3.413 2.289 3.313
H 3.416 0.943 2.181
N 0.961 1.380 3.047
O 2.959 3.918 4.089
```

N(E_F): 0.00 states/eV/cell
volume: 10.24 Å³/atom


Most stable = 1


1.
Density functional theory data (PBE) for crystalline SiH3NO at its relaxed geometry.

```
6
Lattice="4.465 0.000 0.000 0.000 2.667 0.000 -2.216 0.000 4.379" Properties=species:S:1:pos:R:3 pbc="T T T"
Si 0.000 0.000 0.000
H -0.371 1.333 2.076
H 1.249 1.333 1.721
H 2.968 0.000 0.037
N 0.310 1.333 1.291
O 2.656 1.333 3.323
```

N(E_F): 0.00 states/eV/cell
volume: 8.69 Å³/atom


2.
Density functional theory data (PBE) for crystalline SiH3NO at its relaxed geometry.

```
6
Lattice="2.408 -1.390 0.000 2.408 1.390 0.000 -1.203 0.000 7.635" Properties=species:S:1:pos:R:3 pbc="T T T"
Si 0.000 0.000 0.000
H 1.114 0.000 4.291
H 1.553 0.000 3.682
H 3.214 0.000 1.944
N 3.210 0.000 0.925
O 0.403 0.000 6.691
```

N(E_F): 0.00 states/eV/cell
volume: 8.52 Å³/atom


Most stable = 2


1.
Density functional theory data (PBE) for crystalline SiH3NO at its relaxed geometry.

```
6
Lattice="3.242 0.000 0.000 0.000 1.710 4.611 0.000 -1.710 4.611" Properties=species:S:1:pos:R:3 pbc="T T T"
Si 0.000 0.000 0.000
H 0.000 0.000 1.510
H 1.621 -0.894 2.997
H 1.621 0.894 2.997
N 1.621 0.000 8.222
O 0.000 0.000 4.547
```

N(E_F): 0.00 states/eV/cell
volume: 8.52 Å³/atom


2.
Density functional theory data (PBE) for crystalline SiH3NO at its relaxed geometry.

```
6
Lattice="2.845 0.000 0.000 1.314 5.072 0.000 0.977 1.875 4.822" Properties=species:S:1:pos:R:3 pbc="T T T"
Si 0.000 0.000 0.000
H 2.283 3.987 1.820
H 3.766 3.359 4.756
H 3.968 5.064 2.374
N 1.399 4.455 1.602
O 3.709 6.439 4.077
```

N(E_F): 0.00 states/eV/cell
volume: 11.59 Å³/atom


Most stable = 2


1.
Density functional theory data (PBE) for crystalline SiH3NO at its relaxed geometry.

```
6
Lattice="2.919 0.000 0.000 1.459 2.529 0.000 0.695 -0.067 8.399" Properties=species:S:1:pos:R:3 pbc="T T T"
Si 0.000 0.000 0.000
H 1.490 1.793 2.117
H 1.498 1.156 4.856
H 1.978 0.811 4.395
N 3.612 1.611 7.897
O 2.925 0.131 1.660
```

N(E_F): 0.00 states/eV/cell
volume: 10.33 Å³/atom


2.
Density functional theory data (PBE) for crystalline SiH3NO at its relaxed geometry.

```
6
Lattice="2.955 0.000 0.000 1.339 4.592 0.000 1.075 1.206 4.758" Properties=species:S:1:pos:R:3 pbc="T T T"
Si 0.000 0.000 0.000
H 1.963 4.860 2.164
H 2.564 3.283 4.375
H 2.573 2.160 3.110
N 2.569 2.258 4.139
O 2.841 0.594 1.607
```

N(E_F): 0.00 states/eV/cell
volume: 10.76 Å³/atom


Most stable = 1


1.
Density functional theory data (PBE) for crystalline HOs2N at its relaxed geometry.

```
4
Lattice="0.000 2.691 2.691 2.691 0.000 2.691 2.691 2.691 0.000" Properties=species:S:1:pos:R:3 pbc="T T T"
H 0.000 0.000 0.000
Os 1.346 1.346 1.346
Os 4.037 4.037 4.037
N 2.691 2.691 2.691
```

N(E_F): 2.86 states/eV/cell
volume: 9.75 Å³/atom


2.
Density functional theory data (PBE) for crystalline HOs2N at its relaxed geometry.

```
8
Lattice="-2.056 2.056 5.006 2.056 -2.056 5.006 2.056 2.056 -5.006" Properties=species:S:1:pos:R:3 pbc="T T T"
H 0.000 0.000 0.000
H 0.000 2.056 2.503
Os 3.084 0.968 -1.252
Os 0.968 1.028 1.252
Os -1.028 1.088 3.755
Os 1.088 1.028 6.258
N 2.056 0.000 2.503
N 0.000 0.000 5.006
```

N(E_F): 5.25 states/eV/cell
volume: 10.58 Å³/atom


Most stable = 2


1.
Density functional theory data (PBE) for crystalline H3OsN at its relaxed geometry.

```
5
Lattice="3.136 0.000 0.000 0.000 3.136 0.000 0.000 0.000 3.136" Properties=species:S:1:pos:R:3 pbc="T T T"
H 0.000 0.000 1.568
H 0.000 1.568 0.000
H 1.568 0.000 0.000
Os 1.568 1.568 1.568
N 0.000 0.000 0.000
```

N(E_F): 4.00 states/eV/cell
volume: 6.17 Å³/atom


2.
Density functional theory data (PBE) for crystalline H3OsN at its relaxed geometry.

```
5
Lattice="3.358 0.000 0.000 0.000 3.358 0.000 0.000 0.000 3.358" Properties=species:S:1:pos:R:3 pbc="T T T"
H 0.000 0.000 1.679
H 0.000 1.679 0.000
H 1.679 0.000 0.000
Os 0.000 0.000 0.000
N 1.679 1.679 1.679
```

N(E_F): 2.66 states/eV/cell
volume: 7.57 Å³/atom


Most stable = 2


1.
Density functional theory data (PBE) for crystalline TcPHOsSN at its relaxed geometry.

```
6
Lattice="4.787 0.000 0.000 0.000 2.988 0.000 -0.788 0.000 6.986" Properties=species:S:1:pos:R:3 pbc="T T T"
Tc 0.000 0.000 0.000
P 2.189 0.000 1.501
H 2.935 0.000 2.717
Os 1.811 1.494 6.791
S -0.050 1.494 5.340
N 0.581 0.000 1.812
```

N(E_F): 2.67 states/eV/cell
volume: 16.65 Å³/atom


2.
Density functional theory data (PBE) for crystalline TcPHOsSN at its relaxed geometry.

```
6
Lattice="2.920 0.000 0.000 -1.450 4.971 0.000 -0.014 -1.537 5.156" Properties=species:S:1:pos:R:3 pbc="T T T"
Tc 0.000 0.000 0.000
P 1.454 1.202 1.496
H 1.473 1.142 3.910
Os -0.016 3.030 1.232
S -0.010 3.848 3.321
N 1.454 0.544 3.057
```

N(E_F): 3.75 states/eV/cell
volume: 12.47 Å³/atom


3.
Density functional theory data (PBE) for crystalline TcPHOsSN at its relaxed geometry.

```
6
Lattice="4.073 -1.483 0.000 4.073 1.483 0.000 -1.050 0.000 5.667" Properties=species:S:1:pos:R:3 pbc="T T T"
Tc 0.000 0.000 0.000
P 7.110 0.000 3.224
H 1.875 0.000 5.124
Os 4.732 0.000 3.736
S 5.159 0.000 1.402
N 6.813 0.000 1.498
```

N(E_F): 0.61 states/eV/cell
volume: 11.41 Å³/atom


4.
Density functional theory data (PBE) for crystalline TcPHOsSN at its relaxed geometry.

```
6
Lattice="3.689 0.000 0.000 1.677 4.599 0.000 0.883 1.642 4.894" Properties=species:S:1:pos:R:3 pbc="T T T"
Tc 0.000 0.000 0.000
P 1.567 2.951 1.587
H 2.367 3.368 3.731
Os 2.089 0.815 1.453
S 4.543 5.120 3.583
N 5.086 3.326 3.360
```

N(E_F): 0.00 states/eV/cell
volume: 13.84 Å³/atom


Most stable = 3


1.
Density functional theory data (PBE) for crystalline HOsSN2 at its relaxed geometry.

```
5
Lattice="3.874 0.000 0.000 0.000 3.874 0.000 0.000 0.000 2.932" Properties=species:S:1:pos:R:3 pbc="T T T"
H 0.000 0.000 0.000
Os 1.937 1.937 1.466
S 0.000 0.000 1.466
N 0.000 1.937 0.000
N 1.937 0.000 0.000
```

N(E_F): 2.58 states/eV/cell
volume: 8.80 Å³/atom


2.
Density functional theory data (PBE) for crystalline HOsSN2 at its relaxed geometry.

```
5
Lattice="3.727 0.000 0.000 0.000 3.727 0.000 0.000 0.000 5.102" Properties=species:S:1:pos:R:3 pbc="T T T"
H 0.000 0.000 0.000
Os 1.863 1.863 2.551
S 1.863 1.863 0.000
N 0.000 1.863 2.551
N 1.863 0.000 2.551
```

N(E_F): 2.57 states/eV/cell
volume: 14.17 Å³/atom


Most stable = 2


1.
Density functional theory data (PBE) for crystalline Pa2HN at its relaxed geometry.

```
4
Lattice="1.661 0.959 6.244 -1.661 0.959 6.244 0.000 -1.918 6.244" Properties=species:S:1:pos:R:3 pbc="T T T"
Pa 0.000 0.000 4.632
Pa 0.000 0.000 14.101
H 0.000 0.000 0.000
N 0.000 0.000 9.367
```

N(E_F): 4.83 states/eV/cell
volume: 14.92 Å³/atom


2.
Density functional theory data (PBE) for crystalline Pa2HN at its relaxed geometry.

```
4
Lattice="3.020 0.000 0.000 0.000 3.020 0.000 0.000 0.000 5.976" Properties=species:S:1:pos:R:3 pbc="T T T"
Pa 0.000 0.000 1.485
Pa 0.000 0.000 4.491
H 1.510 1.510 0.000
N 1.510 1.510 2.988
```

N(E_F): 3.55 states/eV/cell
volume: 13.62 Å³/atom


Most stable = 1


1.
Density functional theory data (PBE) for crystalline PaHN at its relaxed geometry.

```
3
Lattice="-1.583 1.583 3.320 1.583 -1.583 3.320 1.583 1.583 -3.320" Properties=species:S:1:pos:R:3 pbc="T T T"
Pa 0.000 0.000 0.000
H 0.000 0.000 2.204
N 0.000 0.000 4.341
```

N(E_F): 2.48 states/eV/cell
volume: 11.09 Å³/atom


2.
Density functional theory data (PBE) for crystalline PaHN at its relaxed geometry.

```
3
Lattice="0.000 2.669 2.669 2.669 0.000 2.669 2.669 2.669 0.000" Properties=species:S:1:pos:R:3 pbc="T T T"
Pa 0.000 0.000 0.000
H 2.669 2.669 2.669
N 4.003 4.003 4.003
```

N(E_F): 0.42 states/eV/cell
volume: 12.67 Å³/atom


Most stable = 1


1.
Density functional theory data (PBE) for crystalline HPbN2 at its relaxed geometry.

```
8
Lattice="-2.042 2.042 5.386 2.042 -2.042 5.386 2.042 2.042 -5.386" Properties=species:S:1:pos:R:3 pbc="T T T"
H 0.000 0.000 0.000
H 0.000 2.042 2.693
Pb 2.042 0.000 2.693
Pb 0.000 0.000 5.386
N 0.323 1.021 1.346
N -1.021 1.719 4.039
N -0.323 3.063 1.346
N 1.021 2.365 4.039
```

N(E_F): 2.06 states/eV/cell
volume: 11.23 Å³/atom


2.
Density functional theory data (PBE) for crystalline HPbN2 at its relaxed geometry.

```
4
Lattice="1.772 1.023 4.742 -1.772 1.023 4.742 0.000 -2.046 4.742" Properties=species:S:1:pos:R:3 pbc="T T T"
H 0.000 0.000 0.000
Pb 0.000 0.000 7.113
N 0.000 0.000 1.265
N 0.000 0.000 12.962
```

N(E_F): 0.65 states/eV/cell
volume: 12.89 Å³/atom


3.
Density functional theory data (PBE) for crystalline HPbN2 at its relaxed geometry.

```
4
Lattice="1.594 0.920 5.590 -1.594 0.920 5.590 0.000 -1.840 5.590" Properties=species:S:1:pos:R:3 pbc="T T T"
H 0.000 0.000 0.000
Pb 0.000 0.000 8.385
N 0.000 0.000 5.822
N 0.000 0.000 10.947
```

N(E_F): 1.39 states/eV/cell
volume: 12.29 Å³/atom


4.
Density functional theory data (PBE) for crystalline HPbN2 at its relaxed geometry.

```
4
Lattice="0.000 2.815 2.815 2.815 0.000 2.815 2.815 2.815 0.000" Properties=species:S:1:pos:R:3 pbc="T T T"
H 0.000 0.000 0.000
Pb 2.815 2.815 2.815
N 1.408 1.408 1.408
N 4.223 4.223 4.223
```

N(E_F): 1.82 states/eV/cell
volume: 11.15 Å³/atom


Most stable = 2